Compound: LiCdCoF6
Source: the Alexandria database
Functional: GGA+U
Structure: optimized geometry

a = 4.844 Å, b = 4.844 Å, c = 9.475 Å
α = 90.00°, β = 90.00°, γ = 90.00°
Space group P4_2nm (No. 102)
Inequivalent atoms, fractional coordinates:
Li 0.000 0.000 0.000 (multiplicity 2)
Cd 0.000 0.000 0.668 (multiplicity 2)
Co 0.000 0.000 0.331 (multiplicity 2)
F 0.176 0.176 0.179 (multiplicity 4)
F 0.191 0.191 0.473 (multiplicity 4)
F 0.226 0.226 0.840 (multiplicity 4)

Computed properties:
M_tot in μB/atom: 0.008
Uncorrected energy in eV/atom: -4.3192
V in Å³/cell: 222
Fermi-level density of states in states/eV/f.u.: 0.0
Polymorph energy (0 for the lowest one) in meV/atom: 32